A relaxed structure of InAgAsO, computed with GGA-PBE.

The structure in extended XYZ format:
```
8
Lattice="4.3400 0.0000 0.0000 0.0000 6.7524 0.0000 0.0000 0.0000 5.3609" Properties=species:S:1:pos:R:3 pbc="T T T"
In 0.0000 1.3307 0.0000
In 0.0000 5.4216 2.6805
Ag 2.1700 1.2354 2.6756
Ag 2.1700 5.5170 5.3561
As 2.1700 2.8774 5.0442
As 2.1700 3.8750 2.3637
O 0.0000 0.6900 2.0507
O 0.0000 6.0623 4.7312
```

Values from the calculation:
The calculation puts the offset from the most stable computed form at 0.610 kcal/mol of atoms. As for the space group: Pmc2_1 (26).

A relaxed structure of Tm3Zr3FeBi2, computed with GGA-PBE.

The structure in extended XYZ format:
```
9
Lattice="7.9767 0.0000 0.0000 -3.9884 6.9080 0.0000 0.0000 0.0000 4.0421" Properties=species:S:1:pos:R:3 pbc="T T T"
Tm -1.5498 2.6843 0.0000
Tm 3.0996 0.0000 0.0000
Tm 2.4386 4.2237 0.0000
Zr -3.1000 5.3693 2.0210
Zr 0.8884 1.5387 2.0210
Zr 6.2000 0.0000 2.0210
Fe 0.0000 0.0000 0.0000
Bi 0.0000 4.6054 2.0210
Bi 3.9884 2.3027 2.0210
```

Values from the calculation:
The calculation puts the total magnetization at 2.7 Bohr magnetons per cell. The calculation puts the offset from the most stable computed form at 0.000 kcal/mol of atoms. As for the space group: P-62m (189).

A relaxed structure of TmLu6Co2Te2, computed with GGA-PBE.

The structure in extended XYZ format:
```
11
Lattice="-1.8886 7.6609 4.6620 1.8886 -7.6609 4.6620 1.8886 7.6609 -4.6620" Properties=species:S:1:pos:R:3 pbc="T T T"
Tm 0.0000 0.0000 0.0000
Lu 1.8886 2.8549 -1.1847
Lu 1.8886 -2.2802 2.1109
Lu 1.8886 2.2802 2.1109
Lu 1.8886 5.5724 0.7495
Lu 0.0000 4.8060 3.4773
Lu 0.0000 2.0885 5.4115
Co 0.0000 3.6212 0.6405
Co 0.0000 11.7006 0.6405
Te 0.0000 0.0000 3.1506
Te 0.0000 7.6609 2.1582
```

Values from the calculation:
The calculation puts the total magnetization at 0.0 Bohr magnetons per cell. As for the space group: Imm2 (44). The uncorrected energy is -5.355 eV/atom.

A relaxed structure of PrThAg, computed with GGA-PBE.

The structure in extended XYZ format:
```
3
Lattice="0.0000 3.6336 3.6336 3.6336 0.0000 3.6336 3.6336 3.6336 0.0000" Properties=species:S:1:pos:R:3 pbc="T T T"
Pr 0.0000 0.0000 0.0000
Th 3.6336 3.6336 3.6336
Ag 1.8168 1.8168 1.8168
```

Values from the calculation:
The calculation puts the total magnetization at 0.0 Bohr magnetons per cell. The value obtained for the formation energy is 5.91 kcal/mol of atoms. As for the space group: F-43m (216).

A relaxed structure of BeCu2Bi, computed with GGA-PBE.

The structure in extended XYZ format:
```
16
Lattice="6.3292 0.0000 0.0000 0.0000 6.3292 0.0000 0.0000 0.0000 6.3292" Properties=species:S:1:pos:R:3 pbc="T T T"
Be 0.0000 0.0000 0.0000
Be 0.0000 0.0000 3.1646
Be 0.0000 3.1646 0.0000
Be 3.1646 0.0000 0.0000
Cu 1.2752 1.2752 1.2752
Cu 1.2752 1.2752 5.0541
Cu 1.2752 5.0541 1.2752
Cu 1.2752 5.0541 5.0541
Cu 5.0541 1.2752 1.2752
Cu 5.0541 1.2752 5.0541
Cu 5.0541 5.0541 1.2752
Cu 5.0541 5.0541 5.0541
Bi 0.0000 3.1646 3.1646
Bi 3.1646 0.0000 3.1646
Bi 3.1646 3.1646 0.0000
Bi 3.1646 3.1646 3.1646
```

Values from the calculation:
The calculation puts the offset from the most stable computed form at 0.001 kcal/mol of atoms. As for the space group: Pm-3m (221).

A relaxed structure of ErBiTeO2, computed with GGA-PBE.

The structure in extended XYZ format:
```
5
Lattice="-1.9680 1.9680 6.2590 1.9680 -1.9680 6.2590 1.9680 1.9680 -6.2590" Properties=species:S:1:pos:R:3 pbc="T T T"
Er 0.0000 0.0000 0.0000
Bi 0.0000 0.0000 8.5727
Te 0.0000 0.0000 4.3252
O 1.9680 0.0000 1.0619
O 0.0000 1.9680 1.0619
```

Values from the calculation:
The calculation puts the total magnetization at 0.0 Bohr magnetons per cell. As for the space group: I4mm (107). The uncorrected energy is -6.258 eV/atom.

A relaxed structure of SrBeHg, computed with GGA-PBE.

The structure in extended XYZ format:
```
3
Lattice="0.0000 3.4092 3.4092 3.4092 0.0000 3.4092 3.4092 3.4092 0.0000" Properties=species:S:1:pos:R:3 pbc="T T T"
Sr 0.0000 0.0000 0.0000
Be 5.1138 5.1138 5.1138
Hg 3.4092 3.4092 3.4092
```

Values from the calculation:
The calculation puts the offset from the most stable computed form at 0.000 kcal/mol of atoms. As for the space group: F-43m (216).

A relaxed structure of Li4AgAs2Pt, computed with GGA-PBE.

The structure in extended XYZ format:
```
8
Lattice="4.3678 0.0000 0.0000 0.0000 4.3678 0.0000 0.0000 0.0000 6.1977" Properties=species:S:1:pos:R:3 pbc="T T T"
Li 0.0000 0.0000 0.0000
Li 0.0000 2.1839 1.4738
Li 2.1839 0.0000 4.7239
Li 2.1839 2.1839 3.0989
Ag 0.0000 0.0000 3.0989
As 0.0000 2.1839 4.7332
As 2.1839 0.0000 1.4645
Pt 2.1839 2.1839 0.0000
```

Values from the calculation:
The calculation puts the total magnetization at 0.0 Bohr magnetons per cell. As for the space group: P-4m2 (115). The uncorrected energy is -3.782 eV/atom.

A relaxed structure of CsBaZr, computed with GGA-PBE.

The structure in extended XYZ format:
```
3
Lattice="0.0000 4.4629 4.4629 4.4629 0.0000 4.4629 4.4629 4.4629 0.0000" Properties=species:S:1:pos:R:3 pbc="T T T"
Cs 0.0000 0.0000 0.0000
Ba 4.4629 4.4629 4.4629
Zr 6.6944 6.6944 6.6944
```

Values from the calculation:
The calculation puts the total magnetization at 5.0 Bohr magnetons per cell. The calculation puts the offset from the most stable computed form at 0.000 kcal/mol of atoms. As for the space group: F-43m (216).

A relaxed structure of LaGdW, computed with GGA-PBE.

The structure in extended XYZ format:
```
3
Lattice="0.0000 3.4755 3.4755 3.4755 0.0000 3.4755 3.4755 3.4755 0.0000" Properties=species:S:1:pos:R:3 pbc="T T T"
La 0.0000 0.0000 0.0000
Gd 1.7378 1.7378 1.7378
W 3.4755 3.4755 3.4755
```

Values from the calculation:
The calculation puts the total magnetization at 0.0 Bohr magnetons per cell. The value obtained for the formation energy is 31.39 kcal/mol of atoms. As for the space group: F-43m (216).

A relaxed structure of TmAsN2O, computed with GGA-PBE.

The structure in extended XYZ format:
```
10
Lattice="5.3932 0.0000 0.0000 0.0000 3.5871 0.0000 0.0000 0.0000 5.6026" Properties=species:S:1:pos:R:3 pbc="T T T"
Tm 1.3483 0.0000 1.1484
Tm 4.0449 0.0000 4.4542
As 1.3483 1.7936 3.9995
As 4.0449 1.7936 1.6030
N 0.0000 1.7936 2.8013
N 1.3483 0.0000 4.5052
N 2.6966 1.7936 2.8013
N 4.0449 0.0000 1.0974
O 0.0000 1.7936 0.0000
O 2.6966 1.7936 0.0000
```

Values from the calculation:
The calculation puts the total magnetization at 0.0 Bohr magnetons per cell. As for the space group: Pmma (51). The uncorrected energy is -6.806 eV/atom.

A relaxed structure of LuAlMo, computed with GGA-PBE.

The structure in extended XYZ format:
```
3
Lattice="0.0000 3.3254 3.3254 3.3254 0.0000 3.3254 3.3254 3.3254 0.0000" Properties=species:S:1:pos:R:3 pbc="T T T"
Lu 0.0000 0.0000 0.0000
Al 4.9881 4.9881 4.9881
Mo 1.6627 1.6627 1.6627
```

Values from the calculation:
The calculation puts the total magnetization at 2.3 Bohr magnetons per cell. The calculation puts the offset from the most stable computed form at 15.524 kcal/mol of atoms. As for the space group: F-43m (216).

Please write out number 8 again, unchanged.
A relaxed structure of Li4AgAs2Pt, computed with GGA-PBE.

The structure in extended XYZ format:
```
8
Lattice="4.3678 0.0000 0.0000 0.0000 4.3678 0.0000 0.0000 0.0000 6.1977" Properties=species:S:1:pos:R:3 pbc="T T T"
Li 0.0000 0.0000 0.0000
Li 0.0000 2.1839 1.4738
Li 2.1839 0.0000 4.7239
Li 2.1839 2.1839 3.0989
Ag 0.0000 0.0000 3.0989
As 0.0000 2.1839 4.7332
As 2.1839 0.0000 1.4645
Pt 2.1839 2.1839 0.0000
```

Values from the calculation:
The calculation puts the total magnetization at 0.0 Bohr magnetons per cell. As for the space group: P-4m2 (115). The uncorrected energy is -3.782 eV/atom.